(1)
The following is a DFT calculation (PBE) of a relaxed structure of La3TbNdTm.

Size of the total moment ... 0.00 μB per atom
DFT formation energy ... 0.18 eV per formula unit
E_tot ... -56.93 eV per cell

```
12
Lattice="8.109 0.000 0.000 0.000 5.221 0.000 -3.364 0.000 9.862" Properties=species:S:1:pos:R:3 pbc="T T T"
La 1.240 1.305 0.411
La -0.439 1.305 5.358
La 0.415 3.916 2.898
La 4.330 1.305 6.964
La 5.184 3.916 4.504
La 3.505 3.916 9.451
Tb 3.633 3.916 1.222
Tb 1.112 1.305 8.639
Nd -1.279 3.916 7.811
Nd 6.024 1.305 2.051
Tm 1.937 3.916 6.168
Tm 2.808 1.305 3.694
```

***

(2)
The following is a DFT calculation (PBE) of a relaxed structure of La2TbNdTm2.

Size of the total moment ... 0.00 μB per atom
DFT formation energy ... 0.42 eV per formula unit
E_tot ... -55.55 eV per cell

```
12
Lattice="5.652 0.000 0.000 0.000 10.345 0.000 0.000 0.000 6.924" Properties=species:S:1:pos:R:3 pbc="T T T"
La 0.000 0.263 0.000
La 0.000 10.081 3.462
La 2.826 2.090 1.851
La 2.826 8.254 5.313
Tb 2.826 4.882 6.213
Tb 2.826 5.463 2.751
Nd 0.000 3.191 4.429
Nd 0.000 7.154 0.967
Tm 0.000 3.874 1.014
Tm 0.000 6.471 4.476
Tm 2.826 1.369 5.247
Tm 2.826 8.976 1.785
```

***

(3)
The following is a DFT calculation (PBE) of a relaxed structure of LaTbNd5Tm2.

Size of the total moment ... 0.00 μB per atom
DFT formation energy ... 1.36 eV per formula unit
E_tot ... -81.95 eV per cell

```
18
Lattice="2.860 -10.187 0.000 2.860 10.187 0.000 0.000 0.000 10.668" Properties=species:S:1:pos:R:3 pbc="T T T"
La 2.860 8.469 5.334
La 2.860 -8.469 0.000
Tb 2.860 4.044 0.665
Tb 2.860 -4.044 5.999
Nd 2.860 9.752 8.440
Nd 2.860 7.860 0.806
Nd 2.860 6.028 8.074
Nd 2.860 5.711 3.891
Nd 2.860 0.338 0.788
Nd 2.860 -0.338 6.123
Nd 2.860 -5.711 9.225
Nd 2.860 -6.028 2.739
Nd 2.860 -7.860 6.140
Nd 2.860 -9.752 3.106
Tm 2.860 2.361 3.949
Tm 2.860 2.304 8.378
Tm 2.860 -2.304 3.044
Tm 2.860 -2.361 9.283
```

***

(4)
The following is a DFT calculation (PBE) of a relaxed structure of LaTb4NdTm2.

Size of the total moment ... 0.00 μB per atom
DFT formation energy ... 0.18 eV per formula unit
E_tot ... -73.97 eV per cell

```
16
Lattice="7.166 0.000 0.000 0.000 7.171 0.000 -0.014 0.000 10.116" Properties=species:S:1:pos:R:3 pbc="T T T"
La 0.000 0.000 0.000
La 3.585 0.000 0.005
Tb 1.772 1.817 2.576
Tb 1.769 1.815 7.545
Tb 1.772 5.354 2.576
Tb 1.769 5.357 7.545
Tb 5.383 1.814 7.544
Tb 5.391 1.818 2.578
Tb 5.391 5.353 2.578
Tb 5.383 5.358 7.544
Nd 3.578 0.000 5.058
Nd 3.586 3.586 0.003
Tm -0.005 0.000 5.061
Tm 0.002 3.586 0.001
Tm -0.005 3.586 5.062
Tm 3.577 3.586 5.060
```